Entry 1:
Material: PmNd4Sm10
Method: DFT, PBE
State: relaxed

Properties
Formation enthalpy at 0 K ... 4.61 eV per formula unit
SG ... I4/m, No. 87

a = 10.6983 Å, b = 8.7986 Å, c = 8.7986 Å
α = 68.31°, β = 52.56°, γ = 52.56°
Last column: nearest neighbours and their distance in Å.
Atoms (fractional coordinates):
Pm (0.0000, 0.0000, 0.0000)  4 Nd 3.31
Nd (0.3301, 0.7292, 0.6105)  2 Sm 3.21, 1 Pm 3.31, 1 Nd 3.56
Nd (0.9406, 0.3895, 0.7292)  2 Sm 3.21, 1 Pm 3.31, 1 Nd 3.56
Nd (0.0594, 0.6105, 0.2708)  2 Sm 3.21, 1 Pm 3.31, 1 Nd 3.56
Nd (0.6699, 0.2708, 0.3895)  2 Sm 3.21, 1 Pm 3.31, 1 Nd 3.56
Sm (0.2500, 0.5000, 0.5000)  4 Nd 3.21, 4 Sm 3.25
Sm (0.5433, 0.3239, 0.9079)  5 Sm 3.25-3.41
Sm (0.1328, 0.0921, 0.3239)  5 Sm 3.25-3.41
Sm (0.5488, 0.9079, 0.6761)  5 Sm 3.25-3.41
Sm (0.7751, 0.6761, 0.0921)  5 Sm 3.25-3.41
Sm (0.4567, 0.6761, 0.0921)  5 Sm 3.25-3.41
Sm (0.7500, 0.5000, 0.5000)  4 Nd 3.21, 4 Sm 3.25
Sm (0.2249, 0.3239, 0.9079)  5 Sm 3.25-3.41
Sm (0.4512, 0.0921, 0.3239)  5 Sm 3.25-3.41
Sm (0.8672, 0.9079, 0.6761)  5 Sm 3.25-3.41


Entry 2:
Material: PmNd4Sm3
Method: DFT, PBE
State: relaxed

Properties
Formation enthalpy at 0 K ... 0.11 eV per formula unit
SG ... Pmna, No. 53
Offset from the most stable computed form ... 0 meV/atom

a = 7.3159 Å, b = 7.3169 Å, c = 10.3399 Å
α = 90.00°, β = 90.00°, γ = 90.00°
Last column: nearest neighbours and their distance in Å.
Atoms (fractional coordinates):
Nd (0.0000, 0.8108, 0.0000)  6 Sm 3.66, 4 Nd 3.66, 2 Pm 3.66
Nd (0.5001, 0.3104, 0.0000)  2 Pm 3.66, 4 Nd 3.66, 6 Sm 3.66
Nd (0.7502, 0.0606, 0.7499)  6 Sm 3.65-3.66, 4 Nd 3.66, 2 Pm 3.66
Nd (0.2498, 0.5606, 0.7501)  6 Sm 3.65-3.66, 4 Nd 3.66, 2 Pm 3.66
Nd (0.4999, 0.8104, 0.5000)  2 Pm 3.66, 4 Nd 3.66, 6 Sm 3.66
Nd (0.0000, 0.3108, 0.5000)  6 Sm 3.66, 4 Nd 3.66, 2 Pm 3.66
Nd (0.2498, 0.5606, 0.2499)  6 Sm 3.65-3.66, 4 Nd 3.66, 2 Pm 3.66
Nd (0.7502, 0.0606, 0.2501)  6 Sm 3.65-3.66, 4 Nd 3.66, 2 Pm 3.66
Sm (0.0001, 0.3105, 0.0000)  8 Nd 3.65-3.66, 4 Sm 3.66
Sm (0.2496, 0.0606, 0.7499)  8 Nd 3.65-3.66, 2 Sm 3.66, 2 Pm 3.66
Sm (0.7504, 0.5606, 0.7501)  8 Nd 3.65-3.66, 2 Sm 3.66, 2 Pm 3.66
Sm (0.9999, 0.8105, 0.5000)  8 Nd 3.65-3.66, 4 Sm 3.66
Sm (0.7504, 0.5606, 0.2499)  8 Nd 3.65-3.66, 2 Sm 3.66, 2 Pm 3.66
Sm (0.2496, 0.0606, 0.2501)  8 Nd 3.65-3.66, 2 Sm 3.66, 2 Pm 3.66
Pm (0.5000, 0.8107, 0.0000)  8 Nd 3.66, 4 Sm 3.66
Pm (0.5000, 0.3107, 0.5000)  8 Nd 3.66, 4 Sm 3.66


Entry 3:
Material: Pm5Nd3Sm
Method: DFT, PBE
State: relaxed

Properties
Formation enthalpy at 0 K ... 3.32 eV per formula unit
SG ... C2/m, No. 12
Offset from the most stable computed form ... 241 meV/atom

a = 9.4775 Å, b = 9.4775 Å, c = 12.4787 Å
α = 53.68°, β = 53.68°, γ = 52.80°
Last column: nearest neighbours and their distance in Å.
Atoms (fractional coordinates):
Pm (0.9069, 0.5179, 0.2260)  2 Pm 3.28-3.54, 1 Nd 3.38
Pm (0.3172, 0.6828, 0.0000)  1 Nd 2.67
Pm (0.6385, 0.6385, 0.0530)  5 Pm 3.22-3.54, 1 Sm 3.23
Pm (0.4434, 0.4434, 0.4183)  4 Pm 3.43-3.72, 2 Nd 3.60-3.64
Pm (0.5566, 0.5566, 0.5817)  4 Pm 3.43-3.72, 2 Nd 3.60-3.64
Pm (0.3615, 0.3615, 0.9470)  5 Pm 3.22-3.54, 1 Sm 3.23
Pm (0.5179, 0.9069, 0.2260)  2 Pm 3.28-3.54, 1 Nd 3.38
Pm (0.6828, 0.3172, 0.0000)  1 Nd 2.67
Pm (0.0931, 0.4821, 0.7740)  2 Pm 3.28-3.54, 1 Nd 3.38
Pm (0.4821, 0.0931, 0.7740)  2 Pm 3.28-3.54, 1 Nd 3.38
Nd (0.7032, 0.7032, 0.6968)  1 Nd 3.25, 5 Pm 3.37-3.60
Nd (0.8415, 0.8415, 0.3533)  2 Nd 3.25-3.31, 1 Sm 3.45
Nd (0.0000, 0.0000, 0.0000)  2 Pm 2.67
Nd (0.0000, 0.0000, 0.5000)  2 Sm 3.67, 4 Pm 3.88, 2 Nd 3.88
Nd (0.2968, 0.2968, 0.3032)  1 Nd 3.25, 5 Pm 3.37-3.60
Nd (0.1585, 0.1585, 0.6467)  2 Nd 3.25-3.31, 1 Sm 3.45
Sm (0.8883, 0.8883, 0.8713)  2 Nd 3.20-3.45, 1 Pm 3.23
Sm (0.1117, 0.1117, 0.1287)  2 Nd 3.20-3.45, 1 Pm 3.23


Entry 4:
Material: Pm5Nd3Sm2
Method: DFT, PBE
State: relaxed

Properties
Formation enthalpy at 0 K ... 3.54 eV per formula unit
SG ... Ibam, No. 72
Offset from the most stable computed form ... 175 meV/atom

a = 6.9442 Å, b = 12.5888 Å, c = 12.5888 Å
α = 44.61°, β = 73.99°, γ = 73.99°
Last column: nearest neighbours and their distance in Å.
Atoms (fractional coordinates):
Pm (0.2500, 0.5000, 0.5000)  6 Pm 3.39-3.47
Pm (0.7500, 0.5000, 0.5000)  6 Pm 3.39-3.47
Pm (0.5008, 0.7492, 0.7492)  2 Sm 3.39, 4 Pm 3.41-3.47
Pm (0.9992, 0.2508, 0.2508)  2 Sm 3.39, 4 Pm 3.41-3.47
Pm (0.4992, 0.2508, 0.2508)  2 Sm 3.39, 4 Pm 3.41-3.47
Pm (0.0008, 0.7492, 0.7492)  2 Sm 3.39, 4 Pm 3.41-3.47
Pm (0.1241, 0.4733, 0.2785)  1 Sm 2.95
Pm (0.8759, 0.5267, 0.7215)  1 Sm 2.95
Pm (0.6241, 0.2785, 0.4733)  1 Sm 2.95
Pm (0.3759, 0.7215, 0.5267)  1 Sm 2.95
Nd (0.2500, 0.0000, 0.0000)  4 Sm 3.42, 2 Nd 3.47
Nd (0.7500, 0.0000, 0.0000)  4 Sm 3.42, 2 Nd 3.47
Nd (0.3735, 0.3769, 0.8761)  1 Sm 3.29, 1 Pm 3.32
Nd (0.6265, 0.6231, 0.1239)  1 Sm 3.29, 1 Pm 3.32
Nd (0.8735, 0.8761, 0.3769)  1 Sm 3.29, 1 Pm 3.32
Nd (0.1265, 0.1239, 0.6231)  1 Sm 3.29, 1 Pm 3.32
Sm (0.1263, 0.7799, 0.9675)  1 Pm 2.95, 1 Nd 3.29
Sm (0.8737, 0.2201, 0.0325)  1 Pm 2.95, 1 Nd 3.29
Sm (0.6263, 0.9675, 0.7799)  1 Pm 2.95, 1 Nd 3.29
Sm (0.3737, 0.0325, 0.2201)  1 Pm 2.95, 1 Nd 3.29


Entry 5:
Material: Pm8NdSm6
Method: DFT, PBE
State: relaxed

Properties
Formation enthalpy at 0 K ... 2.60 eV per formula unit
SG ... P-3, No. 147
Offset from the most stable computed form ... 26 meV/atom

a = 6.6374 Å, b = 9.5473 Å, c = 9.5473 Å
α = 120.00°, β = 90.00°, γ = 90.00°
Last column: nearest neighbours and their distance in Å.
Atoms (fractional coordinates):
Pm (0.8362, 0.0301, 0.2836)  4 Sm 3.34-3.58, 3 Pm 3.36-3.37, 1 Nd 3.41
Pm (0.8362, 0.7164, 0.7466)  4 Sm 3.34-3.58, 3 Pm 3.36-3.37, 1 Nd 3.41
Pm (0.8362, 0.2534, 0.9699)  4 Sm 3.34-3.58, 3 Pm 3.36-3.37, 1 Nd 3.41
Pm (0.1638, 0.9699, 0.7164)  4 Sm 3.34-3.58, 3 Pm 3.36-3.37, 1 Nd 3.41
Pm (0.1638, 0.2836, 0.2534)  4 Sm 3.34-3.58, 3 Pm 3.36-3.37, 1 Nd 3.41
Pm (0.1638, 0.7466, 0.0301)  4 Sm 3.34-3.58, 3 Pm 3.36-3.37, 1 Nd 3.41
Pm (0.8842, 0.3333, 0.6667)  3 Pm 3.36
Pm (0.1158, 0.6667, 0.3333)  3 Pm 3.36
Nd (0.5000, 0.0000, 0.0000)  6 Pm 3.41
Sm (0.6616, 0.6517, 0.0878)  1 Sm 3.31, 4 Pm 3.34-3.58
Sm (0.6616, 0.9122, 0.5639)  1 Sm 3.31, 4 Pm 3.34-3.58
Sm (0.6616, 0.4361, 0.3483)  1 Sm 3.31, 4 Pm 3.34-3.58
Sm (0.3384, 0.3483, 0.9122)  1 Sm 3.31, 4 Pm 3.34-3.58
Sm (0.3384, 0.0878, 0.4361)  1 Sm 3.31, 4 Pm 3.34-3.58
Sm (0.3384, 0.5639, 0.6517)  1 Sm 3.31, 4 Pm 3.34-3.58


Entry 6:
Material: Pm2Nd4Sm3
Method: DFT, PBE
State: relaxed

Properties
Formation enthalpy at 0 K ... 0.11 eV per formula unit
SG ... P-1, No. 2
Offset from the most stable computed form ... 0 meV/atom

a = 6.3345 Å, b = 6.3376 Å, c = 13.1743 Å
α = 118.69°, β = 103.95°, γ = 119.96°
Last column: nearest neighbours and their distance in Å.
Atoms (fractional coordinates):
Pm (0.7783, 0.5560, 0.3336)  6 Nd 3.65-3.66, 5 Sm 3.65-3.67, 1 Pm 3.66
Pm (0.2217, 0.4440, 0.6664)  6 Nd 3.65-3.66, 5 Sm 3.65-3.67, 1 Pm 3.66
Nd (0.6669, 0.3333, 0.0001)  2 Pm 3.65-3.66, 5 Sm 3.66, 5 Nd 3.66
Nd (0.3331, 0.6667, 0.9999)  2 Pm 3.65-3.66, 5 Sm 3.66, 5 Nd 3.66
Nd (0.8881, 0.7768, 0.6662)  3 Nd 3.65-3.66, 4 Pm 3.65-3.66, 5 Sm 3.65-3.66
Nd (0.1119, 0.2232, 0.3338)  3 Nd 3.65-3.66, 4 Pm 3.65-3.66, 5 Sm 3.65-3.66
Sm (0.5557, 0.1118, 0.6665)  2 Sm 3.65-3.66, 4 Pm 3.65-3.67, 6 Nd 3.65-3.66
Sm (0.0000, 0.0000, 0.0000)  8 Nd 3.66, 2 Pm 3.66, 2 Sm 3.66
Sm (0.4443, 0.8882, 0.3335)  2 Sm 3.65-3.66, 4 Pm 3.65-3.67, 6 Nd 3.65-3.66


Entry 7:
Material: Pm3Nd4Sm8
Method: DFT, PBE
State: relaxed

Properties
Formation enthalpy at 0 K ... 5.08 eV per formula unit
SG ... C2/m, No. 12

a = 6.9114 Å, b = 9.4332 Å, c = 9.4332 Å
α = 87.03°, β = 111.52°, γ = 111.52°
Last column: nearest neighbours and their distance in Å.
Atoms (fractional coordinates):
Pm (0.5000, 0.5000, 0.0000)  4 Sm 3.25-3.42, 2 Nd 3.46
Pm (0.5000, 0.0000, 0.5000)  4 Sm 3.25-3.42, 2 Nd 3.46
Pm (0.5000, 0.5000, 0.5000)  6 Sm 3.16-3.30
Nd (0.5000, 0.0000, 0.0000)  6 Sm 3.33-3.56, 2 Nd 3.46
Nd (0.0000, 0.5000, 0.0000)  4 Sm 3.26-3.42, 2 Pm 3.46
Nd (0.0000, 0.0000, 0.0000)  2 Nd 3.46, 4 Sm 3.60-3.68
Nd (0.0000, 0.0000, 0.5000)  4 Sm 3.26-3.42, 2 Pm 3.46
Sm (0.5222, 0.2654, 0.2654)  3 Pm 3.25-3.29, 2 Sm 3.28-3.63, 2 Nd 3.56-3.60
Sm (0.0000, 0.6433, 0.3567)  7 Sm 3.67-3.74, 4 Pm 3.69-3.93, 2 Nd 3.69
Sm (0.0003, 0.2689, 0.2689)  3 Nd 3.26-3.55, 2 Sm 3.28-3.63, 1 Pm 3.30
Sm (0.5000, 0.7434, 0.2566)  3 Pm 3.16-3.42, 3 Nd 3.33-3.42
Sm (0.5000, 0.2566, 0.7434)  3 Pm 3.16-3.42, 3 Nd 3.33-3.42
Sm (0.9997, 0.7311, 0.7311)  3 Nd 3.26-3.55, 2 Sm 3.28-3.63, 1 Pm 3.30
Sm (0.0000, 0.3567, 0.6433)  7 Sm 3.67-3.74, 4 Pm 3.69-3.93, 2 Nd 3.69
Sm (0.4778, 0.7346, 0.7346)  3 Pm 3.25-3.29, 2 Sm 3.28-3.63, 2 Nd 3.56-3.60


Entry 8:
Material: Pm4Nd3Sm4
Method: DFT, PBE
State: relaxed

Properties
Formation enthalpy at 0 K ... 1.79 eV per formula unit
SG ... Immm, No. 71
Offset from the most stable computed form ... 16 meV/atom

a = 3.6042 Å, b = 11.4891 Å, c = 11.1502 Å
α = 121.01°, β = 99.30°, γ = 90.00°
Last column: nearest neighbours and their distance in Å.
Atoms (fractional coordinates):
Pm (0.7813, 0.2813, 0.5625)  6 Sm 3.45-3.60, 2 Pm 3.60, 2 Nd 3.77
Pm (0.2187, 0.7187, 0.4375)  6 Sm 3.45-3.60, 2 Pm 3.60, 2 Nd 3.77
Pm (0.5000, 0.7854, 0.0000)  2 Sm 3.24, 2 Pm 3.60
Pm (0.5000, 0.2146, 0.0000)  2 Sm 3.24, 2 Pm 3.60
Nd (0.8949, 0.8949, 0.7897)  3 Nd 3.60-3.95, 6 Pm 3.64-3.77, 4 Sm 3.66
Nd (0.1051, 0.1051, 0.2103)  3 Nd 3.60-3.95, 6 Pm 3.64-3.77, 4 Sm 3.66
Nd (0.0000, 0.5000, 0.0000)  2 Nd 3.60, 4 Pm 3.74
Sm (0.6706, 0.4266, 0.3412)  4 Pm 3.24-3.60, 4 Sm 3.49-3.60
Sm (0.3294, 0.0854, 0.6588)  4 Pm 3.24-3.60, 4 Sm 3.49-3.60
Sm (0.3294, 0.5734, 0.6588)  4 Pm 3.24-3.60, 4 Sm 3.49-3.60
Sm (0.6706, 0.9146, 0.3412)  4 Pm 3.24-3.60, 4 Sm 3.49-3.60


Entry 9:
Material: Pm6NdSm8
Method: DFT, PBE
State: relaxed

Properties
Formation enthalpy at 0 K ... 2.18 eV per formula unit
SG ... R-3, No. 148
Offset from the most stable computed form ... 0 meV/atom

a = 8.3593 Å, b = 8.3593 Å, c = 8.3593 Å
α = 72.03°, β = 72.03°, γ = 72.03°
Last column: nearest neighbours and their distance in Å.
Atoms (fractional coordinates):
Pm (0.1719, 0.4371, 0.6169)  7 Sm 3.49-3.83, 3 Pm 3.68-3.81
Pm (0.3831, 0.8281, 0.5629)  7 Sm 3.49-3.83, 3 Pm 3.68-3.81
Pm (0.5629, 0.3831, 0.8281)  7 Sm 3.49-3.83, 3 Pm 3.68-3.81
Pm (0.4371, 0.6169, 0.1719)  7 Sm 3.49-3.83, 3 Pm 3.68-3.81
Pm (0.6169, 0.1719, 0.4371)  7 Sm 3.49-3.83, 3 Pm 3.68-3.81
Pm (0.8281, 0.5629, 0.3831)  7 Sm 3.49-3.83, 3 Pm 3.68-3.81
Nd (0.0000, 0.0000, 0.0000)  6 Sm 3.08
Sm (0.1323, 0.6281, 0.9481)  1 Nd 3.08, 1 Sm 3.29
Sm (0.0519, 0.8677, 0.3719)  1 Nd 3.08, 1 Sm 3.29
Sm (0.3719, 0.0519, 0.8677)  1 Nd 3.08, 1 Sm 3.29
Sm (0.7614, 0.7614, 0.7614)  6 Sm 3.46-3.61, 6 Pm 3.78-3.83
Sm (0.2386, 0.2386, 0.2386)  6 Sm 3.46-3.61, 6 Pm 3.78-3.83
Sm (0.6281, 0.9481, 0.1323)  1 Nd 3.08, 1 Sm 3.29
Sm (0.9481, 0.1323, 0.6281)  1 Nd 3.08, 1 Sm 3.29
Sm (0.8677, 0.3719, 0.0519)  1 Nd 3.08, 1 Sm 3.29


The calculation returns the following calculated volume values, one per record and in order: 34.8; 34.6; 37.2; 36.9; 34.9; 34.6; 35.3; 35.3; 34.2 Å³/atom.